{"formula": "Pm2InTe3", "functional": "GGA-PBE", "state": "relaxed", "lattice_angstrom": [[-1.973, 2.778, 8.909], [1.973, -2.778, 8.909], [1.973, 2.778, -8.909]], "species": ["Pm", "Pm", "In", "Te", "Te", "Te"], "fractional_positions": [[0.147, 0.147, 0.000], [0.853, 0.853, 0.000], [0.500, 0.500, 0.000], [0.000, 0.500, 0.500], [0.323, 0.323, 0.000], [0.677, 0.677, 0.000]], "mass_density_g_cm3": 6.70, "magmom_total_mub_per_fu": 0.000, "raw_formation_energy_ev_per_atom": -0.854, "energy_ev_per_fu": -26.8, "spacegroup": "No. 71"}


{"formula": "Pm2InTe5", "functional": "GGA-PBE", "state": "relaxed", "lattice_angstrom": [[3.147, -7.517, 0.000], [3.147, 7.517, 0.000], [0.000, 0.000, 13.862]], "species": ["Pm", "Pm", "Pm", "Pm", "In", "In", "Te", "Te", "Te", "Te", "Te", "Te", "Te", "Te", "Te", "Te"], "fractional_positions": [[0.172, 0.828, 0.572], [0.172, 0.828, 0.928], [0.828, 0.172, 0.072], [0.828, 0.172, 0.428], [0.191, 0.809, 0.250], [0.809, 0.191, 0.750], [0.034, 0.966, 0.102], [0.034, 0.966, 0.398], [0.299, 0.701, 0.750], [0.320, 0.680, 0.087], [0.320, 0.680, 0.413], [0.680, 0.320, 0.587], [0.680, 0.320, 0.913], [0.701, 0.299, 0.250], [0.966, 0.034, 0.602], [0.966, 0.034, 0.898]], "mass_density_g_cm3": 5.28, "magmom_total_mub_per_fu": 0.002, "raw_formation_energy_ev_per_atom": -0.838, "energy_ev_per_fu": -34.6, "spacegroup": "No. 63"}


{"formula": "PmInTe2", "functional": "GGA-PBE", "state": "relaxed", "lattice_angstrom": [[5.392, 0.000, 0.000], [0.000, 5.392, 0.000], [0.000, 0.000, 4.005]], "species": ["Pm", "In", "Te", "Te"], "fractional_positions": [[0.000, 0.000, 0.000], [0.500, 0.500, 0.000], [0.000, 0.500, 0.500], [0.500, 0.000, 0.500]], "mass_density_g_cm3": 7.35, "magmom_total_mub_per_fu": 0.000, "raw_formation_energy_ev_per_atom": -0.773, "energy_ev_per_fu": -16.9, "spacegroup": "No. 123"}


{"formula": "PmIn6Te8", "functional": "GGA-PBE", "state": "relaxed", "lattice_angstrom": [[5.756, 3.323, 4.574], [-5.756, 3.323, 4.574], [0.000, -6.647, 4.574]], "species": ["Pm", "In", "In", "In", "In", "In", "In", "Te", "Te", "Te", "Te", "Te", "Te", "Te", "Te"], "fractional_positions": [[0.000, 0.000, 0.000], [0.110, 0.587, 0.380], [0.380, 0.110, 0.587], [0.413, 0.620, 0.890], [0.587, 0.380, 0.110], [0.620, 0.890, 0.413], [0.890, 0.413, 0.620], [0.180, 0.310, 0.820], [0.180, 0.820, 0.690], [0.271, 0.271, 0.271], [0.310, 0.820, 0.180], [0.690, 0.180, 0.820], [0.729, 0.729, 0.729], [0.820, 0.180, 0.310], [0.820, 0.690, 0.180]], "mass_density_g_cm3": 5.87, "magmom_total_mub_per_fu": 0.000, "raw_formation_energy_ev_per_atom": -0.373, "energy_ev_per_fu": -51.9, "spacegroup": "No. 148"}